# 1
A plane-wave DFT calculation with PBE was carried out for crystalline Sm4Pd at its relaxed geometry.

Structure (POSCAR):
```
Sm4Pd
1.0
0.000 6.495 3.720
6.461 0.000 3.720
6.461 6.495 0.000
Sm Pd
8 2
direct
0.043 0.457 0.200
0.050 0.950 0.207
0.082 0.498 0.762
0.457 0.043 0.300
0.488 0.593 0.168
0.498 0.082 0.657
0.593 0.488 0.752
0.950 0.050 0.793
0.645 0.645 0.355
0.895 0.895 0.605
```

Properties
SG: Fdd2
E_form, eV per formula unit: -1.212
Relative energy among the computed polymorphs, meV per atom: 0.0



# 2
A plane-wave DFT calculation with PBE was carried out for crystalline Sm3Pd at its relaxed geometry.

Structure (POSCAR):
```
Sm3Pd
1.0
6.134 0.000 0.000
3.047 8.610 0.000
3.049 -0.003 8.610
Sm Pd
12 4
direct
0.000 0.000 0.000
0.000 0.285 0.715
0.076 0.642 0.768
0.154 0.832 0.358
0.342 0.453 0.357
0.358 0.285 0.000
0.485 0.643 0.947
0.515 0.053 0.358
0.643 0.999 0.715
0.659 0.641 0.547
0.846 0.642 0.168
0.925 0.232 0.357
0.205 0.938 0.654
0.500 0.345 0.653
0.500 0.939 0.062
0.796 0.346 0.061
```

Properties
SG: P1
E_form, eV per formula unit: -1.434
Relative energy among the computed polymorphs, meV per atom: 50.6



# 3
A plane-wave DFT calculation with PBE was carried out for crystalline Sm3Pd at its relaxed geometry.

Structure (POSCAR):
```
Sm3Pd
1.0
4.782 0.000 0.000
0.000 4.782 0.000
0.000 0.000 4.782
Sm Pd
3 1
direct
0.000 0.000 0.500
0.000 0.500 0.000
0.500 0.000 0.000
0.500 0.500 0.500
```

Properties
SG: Pm-3m
E_form, eV per formula unit: -0.599
Relative energy among the computed polymorphs, meV per atom: 259.3



# 4
A plane-wave DFT calculation with PBE was carried out for crystalline SmPd4 at its relaxed geometry.

Structure (POSCAR):
```
SmPd4
1.0
-2.209 2.904 6.974
2.209 -2.904 6.974
2.209 2.904 -6.974
Sm Pd
2 8
direct
0.357 0.107 0.250
0.643 0.893 0.750
0.000 0.500 0.500
0.140 0.890 0.250
0.181 0.696 0.485
0.289 0.304 0.985
0.500 0.500 0.000
0.711 0.696 0.015
0.819 0.304 0.515
0.860 0.110 0.750
```

Properties
SG: Imma
E_form, eV per formula unit: -3.097



# 5
A plane-wave DFT calculation with PBE was carried out for crystalline Sm2Pd3 at its relaxed geometry.

Structure (POSCAR):
```
Sm2Pd3
1.0
-4.903 4.903 4.903
4.903 -4.903 4.903
4.903 4.903 -4.903
Sm Pd
8 12
direct
0.000 0.072 0.500
0.000 0.572 0.500
0.072 0.500 0.000
0.428 0.428 0.428
0.500 0.000 0.072
0.500 0.000 0.572
0.572 0.500 0.000
0.928 0.928 0.928
0.012 0.250 0.262
0.238 0.488 0.750
0.250 0.262 0.012
0.250 0.988 0.738
0.262 0.012 0.250
0.488 0.750 0.238
0.512 0.762 0.750
0.738 0.250 0.988
0.750 0.238 0.488
0.750 0.512 0.762
0.762 0.750 0.512
0.988 0.738 0.250
```

Properties
SG: I-43d
E_form, eV per formula unit: -3.130
Relative energy among the computed polymorphs, meV per atom: 96.7



# 6
A plane-wave DFT calculation with PBE was carried out for crystalline Sm4Pd3 at its relaxed geometry.

Structure (POSCAR):
```
Sm4Pd3
1.0
2.505 1.446 8.287
-2.505 1.446 8.287
0.000 -2.892 8.287
Sm Pd
4 3
direct
0.125 0.125 0.125
0.375 0.375 0.375
0.625 0.625 0.625
0.875 0.875 0.875
0.000 0.000 0.000
0.247 0.247 0.247
0.753 0.753 0.753
```

Properties
SG: R-3m
E_form, eV per formula unit: -4.398



# 7
A plane-wave DFT calculation with PBE was carried out for crystalline SmPd at its relaxed geometry.

Structure (POSCAR):
```
SmPd
1.0
1.926 -5.382 0.000
1.926 5.382 0.000
0.000 0.000 4.598
Sm Pd
2 2
direct
0.137 0.863 0.750
0.863 0.137 0.250
0.415 0.585 0.750
0.585 0.415 0.250
```

Properties
SG: Cmcm
E_form, eV per formula unit: -1.694



# 8
A plane-wave DFT calculation with PBE was carried out for crystalline Sm5Pd at its relaxed geometry.

Structure (POSCAR):
```
Sm5Pd
1.0
1.873 -8.452 0.000
1.873 8.452 0.000
0.000 0.000 5.649
Sm Pd
5 1
direct
0.000 0.000 0.000
0.142 0.858 0.500
0.332 0.668 0.000
0.668 0.332 0.000
0.858 0.142 0.500
0.500 0.500 0.500
```

Properties
SG: Cmmm
E_form, eV per formula unit: -0.672



Please write out number 1 again, unchanged.
A plane-wave DFT calculation with PBE was carried out for crystalline Sm4Pd at its relaxed geometry.

Structure (POSCAR):
```
Sm4Pd
1.0
0.000 6.495 3.720
6.461 0.000 3.720
6.461 6.495 0.000
Sm Pd
8 2
direct
0.043 0.457 0.200
0.050 0.950 0.207
0.082 0.498 0.762
0.457 0.043 0.300
0.488 0.593 0.168
0.498 0.082 0.657
0.593 0.488 0.752
0.950 0.050 0.793
0.645 0.645 0.355
0.895 0.895 0.605
```

Properties
SG: Fdd2
E_form, eV per formula unit: -1.212
Relative energy among the computed polymorphs, meV per atom: 0.0